(1)
A geometry-optimized AcPrThGa structure. Source: the Alexandria database, functional PBE.

## Properties
- energy of formation from the pure elements (eV/atom) = 0.079

Cell: 5.6052 5.6052 5.6052 Å, 60.00 60.00 60.00°
Sites, in units of the cell vectors:
Ac  0.0000  0.0000  0.0000
Pr  0.2500  0.2500  0.2500
Th  0.7500  0.7500  0.7500
Ga  0.5000  0.5000  0.5000

***

(2)
A geometry-optimized BaMoS2N structure. Source: the Alexandria database, functional PBE.

## Properties
- ΔE to the lowest computed polymorph (kJ/mol of atoms) = 0.0
- energy relative to the elements, uncorrected (eV/atom) = -0.867

Cell: 4.9828 4.9828 3.9439 Å, 90.00 90.00 90.00°
Sites, in units of the cell vectors:
Ba  0.0000  0.0000  0.0000
Mo  0.5000  0.5000  0.5000
S  0.0000  0.5000  0.5000
S  0.5000  0.0000  0.5000
N  0.5000  0.5000  0.0000

***

(3)
A geometry-optimized Sm5Np2O12 structure. Source: the Alexandria database, functional PBE.

## Properties
- energy relative to the elements, uncorrected (eV/atom) = -3.245

Cell: 7.1541 7.1541 7.7205 Å, 105.75 105.75 52.40°
Sites, in units of the cell vectors:
Sm  0.0000  0.0000  0.0000
Sm  0.2978  0.2978  0.1337
Sm  0.3076  0.3076  0.6810
Sm  0.6924  0.6924  0.3190
Sm  0.7022  0.7022  0.8663
Np  0.2431  0.7569  0.5000
Np  0.7569  0.2431  0.5000
O  0.0017  0.0017  0.2987
O  0.0964  0.5926  0.9268
O  0.0975  0.5621  0.4102
O  0.4074  0.9036  0.0732
O  0.4379  0.9025  0.5898
O  0.4980  0.4980  0.6954
O  0.5020  0.5020  0.3046
O  0.5621  0.0975  0.4102
O  0.5926  0.0964  0.9268
O  0.9025  0.4379  0.5898
O  0.9036  0.4074  0.0732
O  0.9983  0.9983  0.7013

***

(4)
A geometry-optimized Ac2PuAlO6 structure. Source: the Alexandria database, functional PBE.

## Properties
- energy relative to the elements, uncorrected (eV/atom) = -2.931

Cell: 4.2104 4.2104 8.2876 Å, 90.00 90.00 90.00°
Sites, in units of the cell vectors:
Ac  0.0000  0.0000  0.2210
Ac  0.0000  0.0000  0.7790
Pu  0.5000  0.5000  0.5000
Al  0.5000  0.5000  0.0000
O  0.0000  0.5000  0.0000
O  0.0000  0.5000  0.5000
O  0.5000  0.0000  0.0000
O  0.5000  0.0000  0.5000
O  0.5000  0.5000  0.2179
O  0.5000  0.5000  0.7821

***

(5)
A geometry-optimized Nd12Er7Zr structure. Source: the Alexandria database, functional PBE.

## Properties
- energy of formation from the pure elements (eV/atom) = 0.214

Cell: 11.4973 11.4973 11.4973 Å, 116.86 116.86 116.86°
Sites, in units of the cell vectors:
Nd  0.0006  0.4126  0.5875
Nd  0.0729  0.0738  0.4258
Nd  0.0738  0.4258  0.0729
Nd  0.4126  0.5875  0.0006
Nd  0.4125  0.9994  0.5874
Nd  0.4258  0.0729  0.0738
Nd  0.5742  0.9271  0.9262
Nd  0.5875  0.0006  0.4126
Nd  0.5874  0.4125  0.9994
Nd  0.9262  0.5742  0.9271
Nd  0.9271  0.9262  0.5742
Nd  0.9994  0.5874  0.4125
Er  0.0000  0.0000  0.0000
Er  0.1442  0.3849  0.3839
Er  0.3839  0.1442  0.3849
Er  0.3849  0.3839  0.1442
Er  0.6151  0.6161  0.8558
Er  0.6161  0.8558  0.6151
Er  0.8558  0.6151  0.6161
Zr  0.5000  0.5000  0.5000

***

(6)
A geometry-optimized ZnN structure. Source: the Alexandria database, functional PBE.

## Properties
- ΔE to the lowest computed polymorph (kJ/mol of atoms) = 0.0
- energy relative to the elements, uncorrected (eV/atom) = 0.227

Cell: 2.7607 4.2858 9.0162 Å, 80.18 89.27 90.00°
Sites, in units of the cell vectors:
Zn  0.0000  0.0000  0.0000
Zn  0.5000  0.5000  0.0000
N  0.4800  0.5690  0.5421
N  0.4837  0.4065  0.4580